# ZrInIN2, optimized geometry, DFT PBE
# Energy relative to the elements, uncorrected (eV per atom): 0.30
data_ZrInIN2
_cell_length_a 4.366
_cell_length_b 4.366
_cell_length_c 5.946
_cell_angle_alpha 90.00
_cell_angle_beta 90.00
_cell_angle_gamma 90.00
_symmetry_space_group_name_H-M 'P 1'
_symmetry_Int_Tables_number 1
loop_
_symmetry_equiv_pos_as_xyz
'x,y,z'
loop_
_atom_site_label
_atom_site_fract_x
_atom_site_fract_y
_atom_site_fract_z
N1 0.500 0.000 0.000
N2 0.000 0.500 0.000
I1 0.000 0.000 0.500
Zr1 0.000 0.000 0.000
In1 0.500 0.500 0.500

# LiLa2GeSe5, optimized geometry, DFT PBE
# Energy relative to the elements, uncorrected (eV per atom): -1.40
data_LiLa2GeSe5
_cell_length_a 4.296
_cell_length_b 9.153
_cell_length_c 11.848
_cell_angle_alpha 90.00
_cell_angle_beta 90.00
_cell_angle_gamma 103.57
_symmetry_space_group_name_H-M 'P 1'
_symmetry_Int_Tables_number 1
loop_
_symmetry_equiv_pos_as_xyz
'x,y,z'
loop_
_atom_site_label
_atom_site_fract_x
_atom_site_fract_y
_atom_site_fract_z
Se1 0.500 0.000 0.275
Se2 0.045 0.089 0.060
Se3 0.359 0.718 0.000
Se4 0.293 0.586 0.669
Se5 0.314 0.628 0.352
Se6 0.500 0.000 0.775
Se7 0.707 0.414 0.169
Se8 0.955 0.911 0.560
Se9 0.641 0.282 0.500
Se10 0.686 0.372 0.852
La1 0.878 0.757 0.183
La2 0.132 0.264 0.305
La3 0.868 0.736 0.805
La4 0.122 0.243 0.683
Li1 0.786 0.571 0.520
Li2 0.214 0.429 0.020
Ge1 0.566 0.132 0.959
Ge2 0.434 0.868 0.459

# Ac8Al2In, optimized geometry, DFT PBE
# Energy relative to the elements (eV/atom): -0.13
data_Ac8Al2In
_cell_length_a 5.456
_cell_length_b 8.224
_cell_length_c 10.252
_cell_angle_alpha 108.29
_cell_angle_beta 105.43
_cell_angle_gamma 90.00
_symmetry_space_group_name_H-M 'P 1'
_symmetry_Int_Tables_number 1
loop_
_symmetry_equiv_pos_as_xyz
'x,y,z'
loop_
_atom_site_label
_atom_site_fract_x
_atom_site_fract_y
_atom_site_fract_z
Ac1 0.331 0.046 0.662
Ac2 0.596 0.467 0.192
Ac3 0.803 0.699 0.606
Ac4 0.972 0.238 0.945
Ac5 0.197 0.301 0.394
Ac6 0.404 0.533 0.808
Ac7 0.028 0.762 0.055
Ac8 0.669 0.954 0.338
Al1 0.812 0.302 0.624
Al2 0.188 0.698 0.376
In1 0.500 0.000 0.000

# Pm12Nd3Hg, optimized geometry, DFT PBE
# Energy relative to the elements (eV/atom): -0.02
data_Pm12Nd3Hg
_cell_length_a 5.088
_cell_length_b 5.088
_cell_length_c 20.646
_cell_angle_alpha 90.00
_cell_angle_beta 90.00
_cell_angle_gamma 90.00
_symmetry_space_group_name_H-M 'P 1'
_symmetry_Int_Tables_number 1
loop_
_symmetry_equiv_pos_as_xyz
'x,y,z'
loop_
_atom_site_label
_atom_site_fract_x
_atom_site_fract_y
_atom_site_fract_z
Pm1 0.500 0.000 0.119
Pm2 0.000 0.500 0.627
Pm3 0.000 0.500 0.119
Pm4 0.000 0.500 0.373
Pm5 0.500 0.500 0.500
Pm6 0.000 0.500 0.881
Pm7 0.500 0.000 0.373
Pm8 0.500 0.500 0.243
Pm9 0.500 0.000 0.881
Pm10 0.500 0.000 0.627
Pm11 0.500 0.500 0.000
Pm12 0.500 0.500 0.757
Nd1 0.000 0.000 0.500
Nd2 0.000 0.000 0.754
Nd3 0.000 0.000 0.246
Hg1 0.000 0.000 0.000

# Cu2PbF, optimized geometry, DFT PBE
# Energy relative to the elements, uncorrected (eV per atom): -0.09
data_Cu2PbF
_cell_length_a 4.508
_cell_length_b 4.508
_cell_length_c 4.508
_cell_angle_alpha 60.00
_cell_angle_beta 60.00
_cell_angle_gamma 60.00
_symmetry_space_group_name_H-M 'P 1'
_symmetry_Int_Tables_number 1
loop_
_symmetry_equiv_pos_as_xyz
'x,y,z'
loop_
_atom_site_label
_atom_site_fract_x
_atom_site_fract_y
_atom_site_fract_z
Cu1 0.250 0.250 0.250
Cu2 0.750 0.750 0.750
F1 0.000 0.000 0.000
Pb1 0.500 0.500 0.500

# Y3HoEr2, optimized geometry, DFT PBE
# Energy relative to the elements (eV/atom): 0.12
data_Y3HoEr2
_cell_length_a 3.491
_cell_length_b 9.008
_cell_length_c 12.851
_cell_angle_alpha 78.35
_cell_angle_beta 82.19
_cell_angle_gamma 78.83
_symmetry_space_group_name_H-M 'P 1'
_symmetry_Int_Tables_number 1
loop_
_symmetry_equiv_pos_as_xyz
'x,y,z'
loop_
_atom_site_label
_atom_site_fract_x
_atom_site_fract_y
_atom_site_fract_z
Er1 0.658 0.153 0.532
Er2 0.819 0.479 0.883
Er3 0.181 0.521 0.117
Er4 0.342 0.847 0.468
Y1 0.039 0.137 0.785
Y2 0.961 0.863 0.215
Y3 0.600 0.826 0.975
Y4 0.742 0.811 0.705
Y5 0.400 0.174 0.025
Y6 0.258 0.189 0.295
Ho1 0.439 0.479 0.643
Ho2 0.561 0.521 0.357

# Dy4Te2RhS, optimized geometry, DFT PBE
# Energy relative to the elements, uncorrected (eV per atom): -1.35
data_Dy4Te2RhS
_cell_length_a 4.074
_cell_length_b 7.291
_cell_length_c 7.423
_cell_angle_alpha 108.34
_cell_angle_beta 90.00
_cell_angle_gamma 90.00
_symmetry_space_group_name_H-M 'P 1'
_symmetry_Int_Tables_number 1
loop_
_symmetry_equiv_pos_as_xyz
'x,y,z'
loop_
_atom_site_label
_atom_site_fract_x
_atom_site_fract_y
_atom_site_fract_z
Dy1 0.000 0.273 0.794
Dy2 0.000 0.727 0.206
Dy3 0.500 0.759 0.789
Dy4 0.500 0.241 0.211
Te1 0.500 0.000 0.500
Te2 0.000 0.500 0.500
Rh1 0.500 0.500 0.000
S1 0.000 0.000 0.000

# AcPrNd2, optimized geometry, DFT PBE
# Energy relative to the elements (eV/atom): 0.03
data_AcPrNd2
_cell_length_a 3.785
_cell_length_b 3.785
_cell_length_c 12.429
_cell_angle_alpha 81.24
_cell_angle_beta 81.24
_cell_angle_gamma 60.00
_symmetry_space_group_name_H-M 'P 1'
_symmetry_Int_Tables_number 1
loop_
_symmetry_equiv_pos_as_xyz
'x,y,z'
loop_
_atom_site_label
_atom_site_fract_x
_atom_site_fract_y
_atom_site_fract_z
Nd1 0.081 0.081 0.758
Nd2 0.253 0.253 0.242
Pr1 0.667 0.667 0.000
Ac1 0.500 0.500 0.500

# CrCoTe2, optimized geometry, DFT PBE
# Energy relative to the elements, uncorrected (eV per atom): 0.30
data_CrCoTe2
_cell_length_a 8.425
_cell_length_b 8.425
_cell_length_c 8.425
_cell_angle_alpha 25.78
_cell_angle_beta 25.78
_cell_angle_gamma 25.78
_symmetry_space_group_name_H-M 'P 1'
_symmetry_Int_Tables_number 1
loop_
_symmetry_equiv_pos_as_xyz
'x,y,z'
loop_
_atom_site_label
_atom_site_fract_x
_atom_site_fract_y
_atom_site_fract_z
Co1 0.500 0.500 0.500
Cr1 0.000 0.000 0.000
Te1 0.111 0.111 0.111
Te2 0.889 0.889 0.889

# SrCaIn2Hg4, optimized geometry, DFT PBE
# Energy relative to the elements (eV/atom): -0.40
data_SrCaIn2Hg4
_cell_length_a 5.287
_cell_length_b 5.287
_cell_length_c 9.222
_cell_angle_alpha 73.34
_cell_angle_beta 73.34
_cell_angle_gamma 60.00
_symmetry_space_group_name_H-M 'P 1'
_symmetry_Int_Tables_number 1
loop_
_symmetry_equiv_pos_as_xyz
'x,y,z'
loop_
_atom_site_label
_atom_site_fract_x
_atom_site_fract_y
_atom_site_fract_z
Hg1 0.871 0.871 0.388
Hg2 0.621 0.621 0.138
Hg3 0.129 0.129 0.612
Hg4 0.379 0.379 0.862
In1 0.251 0.251 0.247
In2 0.749 0.749 0.753
Ca1 0.500 0.500 0.500
Sr1 0.000 0.000 0.000

# CsSnBiCl6, optimized geometry, DFT PBE
# Energy relative to the elements, uncorrected (eV per atom): -1.26
data_CsSnBiCl6
_cell_length_a 7.369
_cell_length_b 7.369
_cell_length_c 7.646
_cell_angle_alpha 90.00
_cell_angle_beta 90.00
_cell_angle_gamma 60.00
_symmetry_space_group_name_H-M 'P 1'
_symmetry_Int_Tables_number 1
loop_
_symmetry_equiv_pos_as_xyz
'x,y,z'
loop_
_atom_site_label
_atom_site_fract_x
_atom_site_fract_y
_atom_site_fract_z
Cl1 0.616 0.014 0.291
Cl2 0.616 0.370 0.709
Cl3 0.370 0.616 0.291
Cl4 0.370 0.014 0.709
Cl5 0.014 0.616 0.709
Cl6 0.014 0.370 0.291
Bi1 0.333 0.333 0.500
Sn1 0.667 0.667 0.500
Cs1 0.000 0.000 0.000

# Dy4Tl2GaHg, optimized geometry, DFT PBE
# Energy relative to the elements (eV/atom): -0.42
data_Dy4Tl2GaHg
_cell_length_a 5.278
_cell_length_b 5.278
_cell_length_c 9.088
_cell_angle_alpha 73.12
_cell_angle_beta 73.12
_cell_angle_gamma 60.00
_symmetry_space_group_name_H-M 'P 1'
_symmetry_Int_Tables_number 1
loop_
_symmetry_equiv_pos_as_xyz
'x,y,z'
loop_
_atom_site_label
_atom_site_fract_x
_atom_site_fract_y
_atom_site_fract_z
Dy1 0.621 0.621 0.136
Dy2 0.872 0.872 0.383
Dy3 0.128 0.128 0.617
Dy4 0.379 0.379 0.864
Tl1 0.254 0.254 0.239
Tl2 0.746 0.746 0.761
Ga1 0.500 0.500 0.500
Hg1 0.000 0.000 0.000